Record 1
## BiIN3 (PBE)

Data for a relaxed BiIN3 crystal.

CIF file:
```
data_BiIN3
_chemical_formula_sum 'Bi1 I1 N3'
_cell_length_a 4.096
_cell_length_b 4.096
_cell_length_c 4.096
_cell_angle_alpha 90.00
_cell_angle_beta 90.00
_cell_angle_gamma 90.00
_space_group_name_H-M_alt 'P m -3 m'
_space_group_IT_number 221
_space_group_name_Hall '-P 4 2 3'
loop_
_atom_site_label
_atom_site_fract_x
_atom_site_fract_y
_atom_site_fract_z
Bi1 0.000 0.000 0.000
I1 0.500 0.500 0.500
N1 0.000 0.500 0.500
```

Results
- uncorrected formation energy (eV/atom) = 1.861
- energy (eV/atom) = -4.221


Record 2
## Hf3SnB (PBE)

Data for a relaxed Hf3SnB crystal.

CIF file:
```
data_Hf3SnB
_chemical_formula_sum 'Hf6 Sn2 B2'
_cell_length_a 7.431
_cell_length_b 3.507
_cell_length_c 8.097
_cell_angle_alpha 90.00
_cell_angle_beta 104.58
_cell_angle_gamma 90.00
_space_group_name_H-M_alt 'P 1 21/m 1'
_space_group_IT_number 11
loop_
_space_group_symop_operation_xyz
'x,y,z'
'-x,-y,-z'
'-x,y+1/2,-z'
'x,-y+1/2,z'
loop_
_atom_site_label
_atom_site_fract_x
_atom_site_fract_y
_atom_site_fract_z
Hf1 0.037 0.250 0.344
Hf2 0.327 0.250 0.923
Hf3 0.374 0.750 0.613
Sn1 0.299 0.750 0.213
B1 0.173 0.250 0.639
```

Results
- ΔE_f (eV/atom) = -0.374
- energy (eV/atom) = -8.482